DFT (GGA+U) results for crystalline ReMoNF2 at its relaxed geometry.

abc: 4.3015 4.3015 3.8412
angles: 90.00 90.00 90.00
Last column: nearest neighbours and their distance in Å.
Space group P4/mmm (No. 123)
Inequivalent atoms, fractional coordinates:
Re1 0.0000 0.0000 0.0000 [1 per cell]  2 N 1.92, 4 F 2.15
Mo1 0.5000 0.5000 0.5000 [1 per cell]  8 F 2.88, 4 N 3.04
N1 0.0000 0.0000 0.5000 [1 per cell]  2 Re 1.92
F1 0.0000 0.5000 0.0000 [2 per cell]  2 Re 2.15

Properties
The total energy is -6.46 eV/atom. For the density, the calculation gives 7.8 g/cm3. For the magnetization, the calculation gives 5.071 Bohr magnetons per cell.